Below is a geometry-optimized DyMn2O4 structure, with properties calculated at the PBE with a Hubbard U level.

Structure (CIF):
```
data_DyMn2O4
_space_group_name_H-M_alt 'P 1'
_space_group_IT_number 1
_space_group_name_Hall 'P 1'
_cell_length_a 10.325
_cell_length_b 3.191
_cell_length_c 10.021
_cell_angle_alpha 90.00
_cell_angle_beta 90.00
_cell_angle_gamma 90.00
loop_
_atom_site_label
_atom_site_type_symbol
_atom_site_fract_x
_atom_site_fract_y
_atom_site_fract_z
Dy1 Dy 0.140 0.206 0.000
Dy2 Dy 0.360 0.206 0.500
Dy3 Dy 0.640 0.794 0.000
Dy4 Dy 0.860 0.794 0.500
Mn1 Mn 0.115 0.697 0.687
Mn2 Mn 0.122 0.731 0.323
Mn3 Mn 0.378 0.731 0.823
Mn4 Mn 0.385 0.697 0.187
Mn5 Mn 0.615 0.303 0.687
Mn6 Mn 0.622 0.269 0.323
Mn7 Mn 0.878 0.269 0.823
Mn8 Mn 0.885 0.303 0.187
O1 O 0.021 0.684 0.875
O2 O 0.045 0.734 0.145
O3 O 0.204 0.709 0.500
O4 O 0.247 0.174 0.767
O5 O 0.253 0.174 0.267
O6 O 0.296 0.709 0.000
O7 O 0.455 0.734 0.645
O8 O 0.479 0.684 0.375
O9 O 0.521 0.316 0.875
O10 O 0.545 0.266 0.145
O11 O 0.704 0.291 0.500
O12 O 0.747 0.826 0.767
O13 O 0.753 0.826 0.267
O14 O 0.796 0.291 0.000
O15 O 0.955 0.266 0.645
O16 O 0.979 0.316 0.375
```

As for the space group: No. 29. The calculated total energy is -221.99 eV for the cell shown. The calculation puts the total magnetic moment at 36.00 Bohr magnetons per cell. Its offset from the most stable computed form is 20 meV/atom.